PBE+U MnSe2BrO, optimized geometry; energy above the lowest structure with this stoichiometry = 540 meV/atom; SG = P4/mmm (123); E = -0.261 Ry per atom; size of the total moment = 4.47 μB/cell
1.0
4.997 0.000 0.000
0.000 4.997 0.000
0.000 0.000 5.338
Se Br Mn O
2 1 1 1
Direct
0.000 0.500 0.000
0.500 0.000 0.000
0.000 0.000 0.500
0.000 0.000 0.000
0.500 0.500 0.500